{"formula": "TcAu", "functional": "PBE-GGA", "state": "optimized geometry", "vol_a3_per_atom": 19.79, "spacegroup": "Fm-3m", "de_polymorph_ev_per_fu": 2.27, "formation_energy_ev_per_atom": 1.215, "dos_ef_per_ev_cell": 2.0, "rho_g_cm3": 12.376, "final_energy_ev_per_cell": -11.2, "cell": [[3.825, 0.000, 0.000], [1.913, 3.313, 0.000], [1.913, 1.104, 3.123]], "species": ["Tc", "Au"], "fractional_positions": [[0.500, 0.500, 0.500], [0.000, 0.000, 0.000]]}